A plane-wave DFT calculation with GGA-PBE was carried out for an optimized crystal structure of Ag4AuF.

Values from the calculation:
energy	-18.6	eV per cell
N(E_F)	0.123	states/eV/atom

Cell: 2.929 2.929 11.639 Å, 90.00 90.00 90.00°
Space group P4/mmm (No. 123)
Inequivalent atoms, fractional coordinates:
Ag: 0.000 0.000 0.141 (multiplicity 2)
Ag: 0.500 0.500 0.318 (multiplicity 2)
Au: 0.000 0.000 0.500 (multiplicity 1)
F: 0.500 0.500 0.000 (multiplicity 1)

***

A plane-wave DFT calculation with GGA-PBE was carried out for an optimized crystal structure of La2InFeBi.

Values from the calculation:
calculated formation energy	-2.3	eV/f.u.
energy	-27.2	eV per cell
N(E_F)	0.484	states/eV/atom

Cell: 5.220 5.220 5.056 Å, 90.00 90.00 90.00°
Space group P4/mmm (No. 123)
Inequivalent atoms, fractional coordinates:
La: 0.000 0.500 0.000 (multiplicity 2)
In: 0.000 0.000 0.500 (multiplicity 1)
Fe: 0.000 0.000 0.000 (multiplicity 1)
Bi: 0.500 0.500 0.500 (multiplicity 1)

***

A plane-wave DFT calculation with GGA-PBE was carried out for an optimized crystal structure of SrCuOs2.

Values from the calculation:
calculated formation energy	4.2	eV/f.u.
energy	-48.2	eV per cell
energy above the lowest structure with this stoichiometry	883	meV per atom
N(E_F)	1.138	states/eV/atom

Cell: 5.662 9.516 2.600 Å, 90.00 90.00 90.00°
Space group Cmmm (No. 65)
Inequivalent atoms, fractional coordinates:
Sr: 0.000 0.000 0.000 (multiplicity 2)
Cu: 0.000 0.500 0.000 (multiplicity 2)
Os: 0.250 0.250 0.500 (multiplicity 4)

***

A plane-wave DFT calculation with GGA-PBE was carried out for an optimized crystal structure of Pu2HgPt.

Values from the calculation:
calculated formation energy	-1.4	eV/f.u.
energy	-109.1	eV per cell
energy above the lowest structure with this stoichiometry	101	meV per atom
N(E_F)	5.433	states/eV/atom

Cell: 4.0157 4.0157 23.8623 Å, 90.00 90.00 120.00°
Space group R-3m (No. 166, hexagonal axes)
Inequivalent atoms, fractional coordinates:
Pu: 0.0000 0.0000 0.2359 (multiplicity 6)
Hg: 0.0000 0.0000 0.0000 (multiplicity 3)
Pt: 0.0000 0.0000 0.5000 (multiplicity 3)

***

A plane-wave DFT calculation with GGA-PBE was carried out for an optimized crystal structure of CdPdAu2.

Values from the calculation:
calculated formation energy	2.1	eV/f.u.
energy	-42.1	eV per cell
N(E_F)	0.496	states/eV/atom

Cell: 6.177 6.177 12.134 Å, 90.00 90.00 90.00°
Space group I-42d (No. 122)
Inequivalent atoms, fractional coordinates:
Cd: 0.000 0.000 0.000 (multiplicity 4)
Pd: 0.000 0.000 0.500 (multiplicity 4)
Au: 0.234 0.250 0.625 (multiplicity 8)

***

A plane-wave DFT calculation with GGA-PBE was carried out for an optimized crystal structure of BeCd2As.

Values from the calculation:
calculated formation energy	0.9	eV/f.u.
energy	-18.7	eV per cell
energy above the lowest structure with this stoichiometry	74	meV per atom
N(E_F)	0.356	states/eV/atom

Cell: 9.532 2.907 6.203 Å, 90.00 114.22 90.00°
Space group Cm (No. 8)
Inequivalent atoms, fractional coordinates:
Be: 0.000 0.000 0.000 (multiplicity 2)
Cd: 0.258 0.000 0.945 (multiplicity 2)
Cd: 0.445 0.000 0.599 (multiplicity 2)
As: 0.117 0.500 0.321 (multiplicity 2)

***

A plane-wave DFT calculation with GGA-PBE was carried out for an optimized crystal structure of PI2Br2.

Values from the calculation:
energy	-15.9	eV per cell
energy above the lowest structure with this stoichiometry	574	meV per atom
N(E_F)	0.603	states/eV/atom

Cell: 4.231 4.231 21.602 Å, 90.00 90.00 90.00°
Space group I4/mmm (No. 139)
Inequivalent atoms, fractional coordinates:
P: 0.000 0.000 0.000 (multiplicity 2)
I: 0.000 0.500 0.250 (multiplicity 4)
Br: 0.000 0.000 0.426 (multiplicity 4)

***

A plane-wave DFT calculation with GGA-PBE was carried out for an optimized crystal structure of NaGdZnIn.

Values from the calculation:
calculated formation energy	-0.7	eV/f.u.
energy	-80.5	eV per cell
N(E_F)	0.514	states/eV/atom

Cell: 7.322 7.322 7.322 Å, 90.00 90.00 90.00°
Space group F-43m (No. 216)
Inequivalent atoms, fractional coordinates:
Na: 0.000 0.000 0.000 (multiplicity 4)
Gd: 0.000 0.000 0.500 (multiplicity 4)
Zn: 0.250 0.250 0.750 (multiplicity 4)
In: 0.250 0.250 0.250 (multiplicity 4)